A plane-wave DFT calculation with PBE-GGA was carried out for crystalline Al5Pb at its relaxed geometry.

Cell and atoms, written as CIF:
```
data_Al5Pb
_cell_length_a 5.779
_cell_length_b 5.779
_cell_length_c 4.298
_cell_angle_alpha 90.00
_cell_angle_beta 90.00
_cell_angle_gamma 120.00
_symmetry_space_group_name_H-M 'P 1'
_symmetry_Int_Tables_number 1
_symmetry_space_group_name_Hall 'P 1'
loop_
_atom_site_label
_atom_site_type_symbol
_atom_site_fract_x
_atom_site_fract_y
_atom_site_fract_z
Al1 Al 0.667 0.333 0.000
Al2 Al 0.500 0.500 0.500
Al3 Al 0.333 0.667 0.000
Al4 Al 0.500 0.000 0.500
Al5 Al 0.000 0.500 0.500
Pb1 Pb 0.000 0.000 0.000
```

Calculated values
* ΔH_f (0 K): 1.1 eV per formula unit
* symmetry: No. 191
* density of states at the Fermi level: 3.13 states/eV/f.u.
* energy above the most stable polymorph in this dataset: 42 meV per atom